1.
## Ba8InGa2 (PBE)

Data for an optimized crystal structure of Ba8InGa2.

Its excess energy over the best structure of this formula in the dataset is 0 meV/atom. The size of the total moment is 0.058 μB per cell. The energy relative to the elements is -222 kJ/mol of formula units.

The space group is C2/m (No. 12) and the conventional cell measures 21.014, 6.002 and 8.388 Å, with angles of 90.00, 109.28 and 90.00 degrees. The asymmetric unit holds Ba at (0.034, 0.000, 0.289), Ba at (0.099, 0.500, 0.955), Ba at (0.172, 0.500, 0.466), Ba at (0.198, 0.000, 0.812), In at (0.000, 0.500, 0.500) and Ga at (0.184, 0.000, 0.197).

---

2.
## BaInGa (PBE)

Data for an optimized crystal structure of BaInGa.

The size of the total moment is 0.000 μB per cell. The energy relative to the elements is -132 kJ/mol of formula units.

The space group is P-1 (No. 2) and the conventional cell measures 5.114, 6.444 and 6.488 Å, with angles of 81.49, 66.80 and 66.62 degrees. The asymmetric unit holds Ba at (0.054, 0.196, 0.196), In at (0.332, 0.591, 0.245) and Ga at (0.349, 0.217, 0.586).